The following is a DFT calculation (PBE) of crystalline Li2BeH6 at its relaxed geometry.

Cell lengths 4.221, 4.221, 4.221 Å; angles 60.00, 60.00, 60.00 degrees
Sites, in units of the cell vectors:
H 0.255 0.255 0.745
H 0.255 0.745 0.745
H 0.745 0.745 0.255
Li 0.250 0.250 0.250
H 0.255 0.745 0.255
Be 0.000 0.000 0.000
Li 0.750 0.750 0.750
H 0.745 0.255 0.255
H 0.745 0.255 0.745

Calculated values
**VASP energy**: -26.72 eV for the cell shown
**Total magnetic moment**: 0.0 μB per cell
**Theoretical density**: 0.90 g cm⁻³
**Energy above the most stable polymorph in this dataset**: 0.102 eV/atom